Entry 1:
Here is a geometry-optimized La12YCo7 structure from Alexandria via LeMat-Bulk. Energies are from GGA-PBE.

Calculated values
Energy relative to the elements in eV/atom: -0.097

Structure (CIF):
```
data_La12YCo7
_space_group_name_H-M_alt 'R -3'
_space_group_IT_number 148
_space_group_name_Hall '-R 3'
_cell_length_a 14.3233
_cell_length_b 14.3233
_cell_length_c 9.7783
_cell_angle_alpha 90.00
_cell_angle_beta 90.00
_cell_angle_gamma 120.00
loop_
_atom_site_label
_atom_site_fract_x
_atom_site_fract_y
_atom_site_fract_z
La1 0.0244 0.4396 0.1605
La2 0.0483 0.8775 0.8262
Y1 0.0000 0.0000 0.5000
Co1 0.0000 0.0000 0.0000
Co2 0.0426 0.8540 0.3320
```

***

Entry 2:
Here is a geometry-optimized Rb2NaCeF6 structure from Alexandria via LeMat-Bulk. Energies are from GGA-PBE.

Calculated values
Uncorrected formation energy in meV/atom: -3241

Structure (CIF):
```
data_Rb2NaCeF6
_space_group_name_H-M_alt 'F m -3 m'
_space_group_IT_number 225
_space_group_name_Hall '-F 4 2 3'
_cell_length_a 9.192
_cell_length_b 9.192
_cell_length_c 9.192
_cell_angle_alpha 90.00
_cell_angle_beta 90.00
_cell_angle_gamma 90.00
loop_
_atom_site_label
_atom_site_fract_x
_atom_site_fract_y
_atom_site_fract_z
Rb1 0.250 0.250 0.250
Na1 0.000 0.000 0.000
Ce1 0.000 0.000 0.500
F1 0.000 0.000 0.251
```

***

Entry 3:
Here is a geometry-optimized HfIr3 structure from Alexandria via LeMat-Bulk. Energies are from GGA-PBE.

Calculated values
Energy relative to the elements in eV/atom: -0.799

Structure (CIF):
```
data_HfIr3
_space_group_name_H-M_alt 'P m -3 m'
_space_group_IT_number 221
_space_group_name_Hall '-P 4 2 3'
_cell_length_a 3.965
_cell_length_b 3.965
_cell_length_c 3.965
_cell_angle_alpha 90.00
_cell_angle_beta 90.00
_cell_angle_gamma 90.00
loop_
_atom_site_label
_atom_site_fract_x
_atom_site_fract_y
_atom_site_fract_z
Hf1 0.000 0.000 0.000
Ir1 0.000 0.500 0.500
```

***

Entry 4:
Here is a geometry-optimized ErTm2V structure from Alexandria via LeMat-Bulk. Energies are from GGA-PBE.

Calculated values
Energy relative to the elements in eV/atom: 0.334
Offset from the most stable computed form in meV per atom: 138

Structure (CIF):
```
data_ErTm2V
_space_group_name_H-M_alt 'R -3 m'
_space_group_IT_number 166
_space_group_name_Hall '-R 3 2"'
_cell_length_a 3.4045
_cell_length_b 3.4045
_cell_length_c 31.2837
_cell_angle_alpha 90.00
_cell_angle_beta 90.00
_cell_angle_gamma 120.00
loop_
_atom_site_label
_atom_site_fract_x
_atom_site_fract_y
_atom_site_fract_z
Er1 0.0000 0.0000 0.0000
Tm1 0.0000 0.0000 0.2382
V1 0.0000 0.0000 0.5000
```

***

Entry 5:
Here is a geometry-optimized Ga2Ag2Sn structure from Alexandria via LeMat-Bulk. Energies are from GGA-PBE.

Calculated values
Energy relative to the elements in eV/atom: 0.078
Offset from the most stable computed form in meV per atom: 29

Structure (CIF):
```
data_Ga2Ag2Sn
_space_group_name_H-M_alt 'I 4/m m m'
_space_group_IT_number 139
_space_group_name_Hall '-I 4 2'
_cell_length_a 4.070
_cell_length_b 4.070
_cell_length_c 12.422
_cell_angle_alpha 90.00
_cell_angle_beta 90.00
_cell_angle_gamma 90.00
loop_
_atom_site_label
_atom_site_fract_x
_atom_site_fract_y
_atom_site_fract_z
Ga1 0.000 0.000 0.103
Ag1 0.000 0.500 0.250
Sn1 0.000 0.000 0.500
```

***

Entry 6:
Here is a geometry-optimized LiNb2Pb structure from Alexandria via LeMat-Bulk. Energies are from GGA-PBE.

Calculated values
Energy relative to the elements in eV/atom: 0.652

Structure (CIF):
```
data_LiNb2Pb
_space_group_name_H-M_alt 'I -4 2 d'
_space_group_IT_number 122
_space_group_name_Hall 'I -4 2bw'
_cell_length_a 7.633
_cell_length_b 7.633
_cell_length_c 5.400
_cell_angle_alpha 90.00
_cell_angle_beta 90.00
_cell_angle_gamma 90.00
loop_
_atom_site_label
_atom_site_fract_x
_atom_site_fract_y
_atom_site_fract_z
Li1 0.000 0.000 0.000
Nb1 0.237 0.250 0.125
Pb1 0.000 0.000 0.500
```

***

Entry 7:
Here is a geometry-optimized Si2HgMo structure from Alexandria via LeMat-Bulk. Energies are from GGA-PBE.

Calculated values
Uncorrected formation energy in meV/atom: 322

Structure (CIF):
```
data_Si2HgMo
_space_group_name_H-M_alt 'P 1 m 1'
_space_group_IT_number 6
_space_group_name_Hall 'P -2y'
_cell_length_a 3.483
_cell_length_b 4.285
_cell_length_c 4.982
_cell_angle_alpha 90.00
_cell_angle_beta 110.22
_cell_angle_gamma 90.00
loop_
_atom_site_label
_atom_site_fract_x
_atom_site_fract_y
_atom_site_fract_z
Si1 0.000 0.000 0.000
Si2 0.426 0.500 0.850
Hg1 0.696 0.500 0.387
Mo1 0.295 0.000 0.587
```

***

Entry 8:
Here is a geometry-optimized CdB3Pt structure from Alexandria via LeMat-Bulk. Energies are from GGA-PBE.

Calculated values
Energy relative to the elements in eV/atom: 1.152
Offset from the most stable computed form in meV per atom: 0

Structure (CIF):
```
data_CdB3Pt
_space_group_name_H-M_alt 'P m -3 m'
_space_group_IT_number 221
_space_group_name_Hall '-P 4 2 3'
_cell_length_a 4.219
_cell_length_b 4.219
_cell_length_c 4.219
_cell_angle_alpha 90.00
_cell_angle_beta 90.00
_cell_angle_gamma 90.00
loop_
_atom_site_label
_atom_site_fract_x
_atom_site_fract_y
_atom_site_fract_z
Cd1 0.000 0.000 0.000
B1 0.000 0.500 0.500
Pt1 0.500 0.500 0.500
```

***

Entry 9:
Here is a geometry-optimized TcTeMo structure from Alexandria via LeMat-Bulk. Energies are from GGA-PBE.

Calculated values
Offset from the most stable computed form in meV per atom: 220
Uncorrected formation energy in meV/atom: 416

Structure (CIF):
```
data_TcTeMo
_space_group_name_H-M_alt 'P -6 m 2'
_space_group_IT_number 187
_space_group_name_Hall 'P -6 2'
_cell_length_a 4.4707
_cell_length_b 4.4707
_cell_length_c 2.9991
_cell_angle_alpha 90.00
_cell_angle_beta 90.00
_cell_angle_gamma 120.00
loop_
_atom_site_label
_atom_site_fract_x
_atom_site_fract_y
_atom_site_fract_z
Tc1 0.0000 0.0000 0.0000
Te1 0.3333 0.6667 0.0000
Mo1 0.6667 0.3333 0.5000
```

***

Entry 10:
Here is a geometry-optimized GaNiMo2H structure from Alexandria via LeMat-Bulk. Energies are from GGA-PBE.

Structure (CIF):
```
data_GaNiMo2H
_space_group_name_H-M_alt 'P 4/m m m'
_space_group_IT_number 123
_space_group_name_Hall '-P 4 2'
_cell_length_a 3.818
_cell_length_b 3.818
_cell_length_c 4.113
_cell_angle_alpha 90.00
_cell_angle_beta 90.00
_cell_angle_gamma 90.00
loop_
_atom_site_label
_atom_site_fract_x
_atom_site_fract_y
_atom_site_fract_z
Ga1 0.000 0.000 0.000
Ni1 0.500 0.500 0.000
Mo1 0.000 0.500 0.500
H1 0.500 0.500 0.500
```

***

Entry 11:
Here is a geometry-optimized LiAu2Cl structure from Alexandria via LeMat-Bulk. Energies are from GGA-PBE.

Calculated values
Offset from the most stable computed form in meV per atom: 45
Uncorrected formation energy in meV/atom: -528

Structure (CIF):
```
data_LiAu2Cl
_space_group_name_H-M_alt 'I 4/m m m'
_space_group_IT_number 139
_space_group_name_Hall '-I 4 2'
_cell_length_a 3.732
_cell_length_b 3.732
_cell_length_c 13.633
_cell_angle_alpha 90.00
_cell_angle_beta 90.00
_cell_angle_gamma 90.00
loop_
_atom_site_label
_atom_site_fract_x
_atom_site_fract_y
_atom_site_fract_z
Li1 0.000 0.000 0.000
Au1 0.000 0.500 0.250
Cl1 0.000 0.000 0.500
```

***

no.,electronic total energy (eV/atom)
1,-5.86
2,-5.28
3,-9.93
4,-5.32
5,-3.07
6,-5.79
7,-5.17
8,-4.25
9,-7.70
10,-6.76
11,-3.11